# 1
Ac6Ni2HgCl3, optimized geometry, DFT GGA-PBE; symmetry = C2/m; volume = 407.1 Å³/cell; spin magnetization = 0.002 μB per formula unit; E_form (uncorrected) = -0.91 eV/atom
1.0
4.304 0.000 0.000
0.000 9.235 0.116
-2.152 -2.893 10.205
Ac Ni Hg Cl
6 2 1 3
Direct
0.340 0.884 0.681
0.685 0.573 0.371
0.660 0.116 0.319
0.027 0.276 0.055
0.973 0.724 0.945
0.315 0.427 0.629
0.830 0.655 0.660
0.170 0.345 0.340
0.500 0.000 0.000
0.500 0.500 0.000
0.817 0.141 0.634
0.183 0.859 0.366

# 2
Sm3BeSi2, optimized geometry, DFT GGA-PBE; symmetry = Pnma; volume = 551.9 Å³/cell; spin magnetization = 0.049 μB per formula unit; E_form (uncorrected) = -0.56 eV/atom
1.0
-3.330 1.177 2.049
-6.097 0.184 -10.015
-2.928 -11.036 1.580
Sm Be Si
12 4 8
Direct
0.250 0.382 0.066
0.750 0.618 0.934
0.750 0.882 0.434
0.250 0.118 0.566
0.250 0.705 0.200
0.750 0.295 0.800
0.750 0.205 0.300
0.250 0.795 0.700
0.250 0.441 0.381
0.750 0.559 0.619
0.750 0.941 0.119
0.250 0.059 0.881
0.250 0.137 0.136
0.750 0.863 0.864
0.750 0.637 0.364
0.250 0.363 0.636
0.250 0.682 0.460
0.750 0.318 0.540
0.750 0.182 0.040
0.250 0.818 0.960
0.250 0.019 0.302
0.750 0.981 0.698
0.750 0.519 0.198
0.250 0.481 0.802